TiMo4W4 | PBE-GGA | relaxed

Lattice parameters (Å, degrees): 5.687 5.687 10.021 90.00 90.00 90.00
Fractional positions:
1 Ti 0.250 0.750 0.250
2 Ti 0.750 0.250 0.750
3 Mo 0.003 0.750 0.517
4 Mo 0.250 0.503 0.983
5 Mo 0.250 0.997 0.983
6 Mo 0.497 0.750 0.517
7 Mo 0.503 0.250 0.483
8 Mo 0.750 0.003 0.017
9 Mo 0.750 0.497 0.017
10 Mo 0.997 0.250 0.483
11 W 0.020 0.250 0.179
12 W 0.250 0.020 0.679
13 W 0.250 0.480 0.679
14 W 0.480 0.250 0.179
15 W 0.520 0.750 0.821
16 W 0.750 0.520 0.321
17 W 0.750 0.980 0.321
18 W 0.980 0.750 0.821

Properties
crystal system: tetragonal
formation energy from the elements: 689 meV per atom
space group: P4_2/nmc
polymorph energy (0 for the lowest one): 802 meV/atom

---

Ba2CaBe | PBE-GGA | relaxed

Lattice parameters (Å, degrees): 5.976 5.976 4.524 90.00 90.00 90.10
Fractional positions:
1 Ba 0.000 0.500 0.000
2 Ba 0.500 0.000 0.000
3 Ca 0.000 0.000 0.500
4 Be 0.500 0.500 0.500

Properties
crystal system: orthorhombic
formation energy from the elements: 464 meV per atom
space group: Cmmm

---

KSc2Nb | PBE-GGA | relaxed

Lattice parameters (Å, degrees): 5.226 5.226 5.226 60.00 60.00 60.00
Fractional positions:
1 K 0.000 0.000 0.000
2 Sc 0.250 0.250 0.250
3 Sc 0.750 0.750 0.750
4 Nb 0.500 0.500 0.500

Properties
crystal system: cubic
formation energy from the elements: 894 meV per atom
space group: Fm-3m
polymorph energy (0 for the lowest one): 462 meV/atom

---

BeInMo3 | PBE-GGA | relaxed

Lattice parameters (Å, degrees): 4.870 4.870 4.870 90.00 90.00 90.00
Fractional positions:
1 Be 0.000 0.000 0.000
2 In 0.500 0.500 0.500
3 Mo 0.000 0.500 0.500
4 Mo 0.500 0.000 0.500
5 Mo 0.500 0.500 0.000

Properties
crystal system: cubic
formation energy from the elements: 2740 meV per atom
space group: Pm-3m
polymorph energy (0 for the lowest one): 2091 meV/atom

---

HgBi2Pd5 | PBE-GGA | relaxed

Lattice parameters (Å, degrees): 9.164 9.164 11.823 90.00 90.00 160.51
Fractional positions:
1 Hg 0.140 0.860 0.750
2 Hg 0.860 0.140 0.250
3 Bi 0.124 0.876 0.014
4 Bi 0.124 0.876 0.486
5 Bi 0.876 0.124 0.514
6 Bi 0.876 0.124 0.986
7 Pd 0.005 0.995 0.634
8 Pd 0.005 0.995 0.866
9 Pd 0.137 0.863 0.250
10 Pd 0.262 0.738 0.610
11 Pd 0.262 0.738 0.890
12 Pd 0.738 0.262 0.110
13 Pd 0.738 0.262 0.390
14 Pd 0.863 0.137 0.750
15 Pd 0.995 0.005 0.134
16 Pd 0.995 0.005 0.366

Properties
crystal system: orthorhombic
formation energy from the elements: 8 meV per atom
space group: Cmcm
polymorph energy (0 for the lowest one): 199 meV/atom

---

Ho2Si7Rh12 | PBE-GGA | relaxed

Lattice parameters (Å, degrees): 9.729 9.729 3.848 90.00 90.00 120.00
Fractional positions:
1 Ho 0.333 0.667 0.250
2 Ho 0.667 0.333 0.750
3 Si 0.000 0.000 0.000
4 Si 0.111 0.401 0.749
5 Si 0.290 0.889 0.749
6 Si 0.401 0.290 0.251
7 Si 0.599 0.710 0.749
8 Si 0.710 0.111 0.251
9 Si 0.889 0.599 0.251
10 Rh 0.064 0.619 0.748
11 Rh 0.119 0.857 0.245
12 Rh 0.143 0.262 0.245
13 Rh 0.262 0.119 0.755
14 Rh 0.381 0.444 0.748
15 Rh 0.444 0.064 0.252
16 Rh 0.556 0.936 0.748
17 Rh 0.619 0.556 0.252
18 Rh 0.738 0.881 0.245
19 Rh 0.857 0.738 0.755
20 Rh 0.881 0.143 0.755
21 Rh 0.936 0.381 0.252

Properties
crystal system: trigonal
space group: P-3
formation energy from raw total energies: -93.4 kJ/mol of atoms

---

Li2Dy3Cu7 | PBE-GGA | relaxed

Lattice parameters (Å, degrees): 8.724 8.724 8.724 35.12 35.12 35.12
Fractional positions:
1 Li 0.168 0.168 0.168
2 Li 0.832 0.832 0.832
3 Dy 0.362 0.362 0.362
4 Dy 0.500 0.500 0.500
5 Dy 0.638 0.638 0.638
6 Cu 0.000 0.000 0.000
7 Cu 0.083 0.083 0.582
8 Cu 0.083 0.582 0.083
9 Cu 0.418 0.917 0.917
10 Cu 0.582 0.083 0.083
11 Cu 0.917 0.418 0.917
12 Cu 0.917 0.917 0.418

Properties
crystal system: trigonal
formation energy from the elements: -150 meV per atom
space group: R-3m

---

MgGaNi | PBE-GGA | relaxed

Lattice parameters (Å, degrees): 6.888 6.885 3.907 73.56 73.48 32.96
Fractional positions:
1 Mg 0.157 0.157 0.843
2 Mg 0.843 0.843 0.157
3 Ga 0.381 0.381 0.619
4 Ga 0.619 0.619 0.381
5 Ni 0.000 0.000 0.500
6 Ni 0.500 0.500 0.000

Properties
crystal system: orthorhombic
formation energy from the elements: -276 meV per atom
space group: Fmmm

---

KTiBi2 | PBE-GGA | relaxed

Lattice parameters (Å, degrees): 9.490 9.490 9.490 137.94 137.94 61.00
Fractional positions:
1 K 0.000 0.000 0.000
2 K 0.750 0.250 0.500
3 Ti 0.250 0.750 0.500
4 Ti 0.500 0.500 0.000
5 Bi 0.336 0.625 0.211
6 Bi 0.375 0.586 0.711
7 Bi 0.414 0.125 0.789
8 Bi 0.875 0.664 0.289

Properties
crystal system: tetragonal
formation energy from the elements: 33 meV per atom
space group: I-42d
polymorph energy (0 for the lowest one): 206 meV/atom

---

PtRh2O6 | PBE-GGA | relaxed

Lattice parameters (Å, degrees): 8.842 8.842 4.323 90.00 90.00 120.00
Fractional positions:
1 Pt 0.000 0.000 0.000
2 Pt 0.333 0.667 0.504
3 Pt 0.667 0.333 0.496
4 Rh 0.000 0.315 0.500
5 Rh 0.000 0.649 0.000
6 Rh 0.315 0.000 0.500
7 Rh 0.351 0.351 0.000
8 Rh 0.649 0.000 0.000
9 Rh 0.685 0.685 0.500
10 O 0.098 0.877 0.757
11 O 0.113 0.535 0.754
12 O 0.123 0.221 0.757
13 O 0.221 0.123 0.243
14 O 0.221 0.775 0.255
15 O 0.225 0.446 0.255
16 O 0.422 0.887 0.754
17 O 0.446 0.225 0.745
18 O 0.465 0.578 0.754
19 O 0.535 0.113 0.246
20 O 0.554 0.779 0.255
21 O 0.578 0.465 0.246
22 O 0.775 0.221 0.745
23 O 0.779 0.554 0.745
24 O 0.779 0.902 0.757
25 O 0.877 0.098 0.243
26 O 0.887 0.422 0.246
27 O 0.902 0.779 0.243

Properties
crystal system: trigonal
space group: P321
formation energy from raw total energies: -57.2 kJ/mol of atoms

---

Number 1: size of the total moment 0.0 μB per formula unit, total energy -0.7908 Ry/atom. Number 2: size of the total moment 0.0 μB per formula unit, total energy -0.1418 Ry/atom. Number 3: size of the total moment 1.9 μB per formula unit, total energy -0.3722 Ry/atom. Number 4: size of the total moment 0.0 μB per formula unit, total energy -0.3713 Ry/atom. Number 5: size of the total moment 0.0 μB per formula unit, total energy -0.3121 Ry/atom. Number 6: size of the total moment 0.0 μB per formula unit, total energy -0.5448 Ry/atom. Number 7: size of the total moment 0.0 μB per formula unit, total energy -0.2946 Ry/atom. Number 8: size of the total moment 0.0 μB per formula unit, total energy -0.2751 Ry/atom. Number 9: size of the total moment 0.0 μB per formula unit, total energy -0.3054 Ry/atom. Number 10: size of the total moment 0.5 μB per formula unit, total energy -0.4559 Ry/atom.